[1]
This record from the Alexandria database describes a crystal of CsK2NiTe relaxed with PBEsol. The functional is SCAN.

abc: 4.760 6.771 6.771
angles: 90.00 90.00 90.00
Atoms (fractional coordinates):
Cs: 0.500 0.500 0.500
Ni: 0.500 0.000 0.000
K: 0.000 0.000 0.500
K: 0.000 0.500 0.000
Te: 0.000 0.000 0.000

***

[2]
This record from the Alexandria database describes a crystal of NbSi2SeBr relaxed with PBEsol. The functional is SCAN.

abc: 4.793 4.915 4.915
angles: 90.00 90.00 90.00
Atoms (fractional coordinates):
Nb: 0.500 0.000 0.000
Si: 0.000 0.000 0.500
Si: 0.000 0.500 0.000
Se: 0.500 0.500 0.500
Br: 0.000 0.000 0.000

***

Number 1: ΔE_f (raw) -0.079 eV per atom, VASP energy -1.59179 Ry/atom. Number 2: ΔE_f (raw) 1.590 eV per atom, VASP energy -1.24577 Ry/atom.